# 1
Entry from Alexandria: an optimized crystal structure of Zn2NiPd3 (PBE-GGA).

Unit cell a=6.828 b=6.828 c=6.032 alpha=90.00 beta=90.00 gamma=143.14
Positions (direct):
Zn (0.000, 0.000, 0.000)
Zn (0.000, 0.000, 0.500)
Zn (0.333, 0.667, 0.000)
Zn (0.667, 0.333, 0.000)
Ni (0.330, 0.670, 0.500)
Ni (0.670, 0.330, 0.500)
Pd (0.166, 0.834, 0.252)
Pd (0.166, 0.834, 0.748)
Pd (0.500, 0.500, 0.252)
Pd (0.500, 0.500, 0.748)
Pd (0.834, 0.166, 0.252)
Pd (0.834, 0.166, 0.748)

Calculated values
As for the crystal system: orthorhombic.

=====

# 2
Entry from Alexandria: an optimized crystal structure of Zn3NiPd4 (PBE-GGA).

Unit cell a=8.734 b=5.940 c=4.367 alpha=90.00 beta=90.00 gamma=90.00
Positions (direct):
Zn (0.000, 0.000, 0.000)
Zn (0.250, 0.000, 0.495)
Zn (0.250, 0.500, 0.494)
Zn (0.500, 0.000, 0.000)
Zn (0.750, 0.000, 0.505)
Zn (0.750, 0.500, 0.506)
Ni (0.000, 0.500, 0.000)
Ni (0.500, 0.500, 0.000)
Pd (0.000, 0.252, 0.500)
Pd (0.000, 0.748, 0.500)
Pd (0.250, 0.252, 0.994)
Pd (0.250, 0.748, 0.994)
Pd (0.500, 0.252, 0.500)
Pd (0.500, 0.748, 0.500)
Pd (0.750, 0.252, 0.006)
Pd (0.750, 0.748, 0.006)

Calculated values
As for the crystal system: orthorhombic.

=====

# 3
Entry from Alexandria: an optimized crystal structure of ZnNi2Pd6 (PBE-GGA).

Unit cell a=8.093 b=6.253 c=5.845 alpha=83.90 beta=50.20 gamma=45.91
Positions (direct):
Zn (0.000, 0.000, 0.000)
Ni (0.329, 0.329, 0.671)
Ni (0.671, 0.671, 0.329)
Pd (0.009, 0.325, 0.675)
Pd (0.325, 0.009, 0.991)
Pd (0.343, 0.657, 0.343)
Pd (0.657, 0.343, 0.657)
Pd (0.675, 0.991, 0.009)
Pd (0.991, 0.675, 0.325)

Calculated values
As for the crystal system: orthorhombic. The offset from the most stable computed form comes out at 0 meV/atom.

=====

# 4
Entry from Alexandria: an optimized crystal structure of Zn5NiPd2 (PBE-GGA).

Unit cell a=7.318 b=7.318 c=7.318 alpha=147.64 beta=147.64 gamma=46.41
Positions (direct):
Zn (0.000, 0.000, 0.000)
Zn (0.122, 0.622, 0.500)
Zn (0.378, 0.878, 0.500)
Zn (0.622, 0.122, 0.500)
Zn (0.878, 0.378, 0.500)
Ni (0.500, 0.500, 0.000)
Pd (0.253, 0.253, 0.000)
Pd (0.747, 0.747, 0.000)

Calculated values
As for the crystal system: tetragonal.

=====

# 5
Entry from Alexandria: an optimized crystal structure of ZnNiPd5 (PBE-GGA).

Unit cell a=6.375 b=6.375 c=7.105 alpha=113.65 beta=113.65 gamma=84.66
Positions (direct):
Zn (0.025, 0.975, 0.750)
Zn (0.975, 0.025, 0.250)
Ni (0.500, 0.500, 0.000)
Ni (0.500, 0.500, 0.500)
Pd (0.124, 0.289, 0.659)
Pd (0.124, 0.669, 0.026)
Pd (0.289, 0.124, 0.159)
Pd (0.306, 0.694, 0.750)
Pd (0.331, 0.876, 0.474)
Pd (0.669, 0.124, 0.526)
Pd (0.694, 0.306, 0.250)
Pd (0.711, 0.876, 0.841)
Pd (0.876, 0.331, 0.974)
Pd (0.876, 0.711, 0.341)

Calculated values
As for the crystal system: monoclinic.

=====

# 6
Entry from Alexandria: an optimized crystal structure of Zn2NiPd9 (PBE-GGA).

Unit cell a=3.898 b=3.898 c=11.733 alpha=90.00 beta=90.00 gamma=90.00
Positions (direct):
Zn (0.000, 0.000, 0.167)
Zn (0.000, 0.000, 0.833)
Ni (0.000, 0.000, 0.500)
Pd (0.000, 0.500, 0.000)
Pd (0.000, 0.500, 0.337)
Pd (0.000, 0.500, 0.663)
Pd (0.500, 0.000, 0.000)
Pd (0.500, 0.000, 0.337)
Pd (0.500, 0.000, 0.663)
Pd (0.500, 0.500, 0.169)
Pd (0.500, 0.500, 0.500)
Pd (0.500, 0.500, 0.831)

Calculated values
As for the crystal system: tetragonal.

=====

# 7
Entry from Alexandria: an optimized crystal structure of Zn2NiPd (PBE-GGA).

Unit cell a=8.275 b=8.275 c=8.275 alpha=19.44 beta=19.44 gamma=19.44
Positions (direct):
Zn (0.000, 0.000, 0.000)
Zn (0.175, 0.175, 0.175)
Ni (0.587, 0.587, 0.587)
Pd (0.754, 0.754, 0.754)

Calculated values
As for the crystal system: trigonal.

=====

# 8
Entry from Alexandria: an optimized crystal structure of Zn6Ni2Pd (PBE-GGA).

Unit cell a=7.998 b=7.998 c=3.812 alpha=90.00 beta=90.00 gamma=90.00
Positions (direct):
Zn (0.014, 0.327, 0.000)
Zn (0.155, 0.845, 0.500)
Zn (0.173, 0.514, 0.500)
Zn (0.327, 0.014, 0.000)
Zn (0.345, 0.345, 0.000)
Zn (0.486, 0.827, 0.500)
Zn (0.514, 0.173, 0.500)
Zn (0.655, 0.655, 0.000)
Zn (0.673, 0.986, 0.000)
Zn (0.827, 0.486, 0.500)
Zn (0.845, 0.155, 0.500)
Zn (0.986, 0.673, 0.000)
Ni (0.186, 0.186, 0.500)
Ni (0.314, 0.686, 0.000)
Ni (0.686, 0.314, 0.000)
Ni (0.814, 0.814, 0.500)
Pd (0.000, 0.000, 0.000)
Pd (0.500, 0.500, 0.500)

Calculated values
As for the crystal system: tetragonal. The offset from the most stable computed form comes out at 0 meV/atom.

=====

# 9
Entry from Alexandria: an optimized crystal structure of Zn6Ni2Pd (PBE-GGA).

Unit cell a=6.809 b=6.809 c=4.150 alpha=106.49 beta=106.49 gamma=52.57
Positions (direct):
Zn (0.053, 0.603, 0.327)
Zn (0.241, 0.759, 0.000)
Zn (0.397, 0.947, 0.673)
Zn (0.603, 0.053, 0.327)
Zn (0.759, 0.241, 0.000)
Zn (0.947, 0.397, 0.673)
Ni (0.171, 0.171, 0.172)
Ni (0.829, 0.829, 0.828)
Pd (0.500, 0.500, 0.500)

Calculated values
As for the crystal system: monoclinic. The offset from the most stable computed form comes out at 152 meV/atom.

=====

# 10
Entry from Alexandria: an optimized crystal structure of ZnNi3Pd (PBE-GGA).

Unit cell a=4.559 b=4.559 c=4.559 alpha=90.00 beta=90.00 gamma=90.00
Positions (direct):
Zn (0.000, 0.000, 0.000)
Ni (0.000, 0.500, 0.500)
Ni (0.500, 0.000, 0.500)
Ni (0.500, 0.500, 0.000)
Pd (0.500, 0.500, 0.500)

Calculated values
As for the crystal system: cubic. The offset from the most stable computed form comes out at 258 meV/atom.

=====

# 11
Entry from Alexandria: an optimized crystal structure of ZnNi2Pd6 (PBE-GGA).

Unit cell a=4.308 b=4.308 c=7.966 alpha=96.72 beta=96.72 gamma=63.55
Positions (direct):
Zn (0.000, 0.000, 0.000)
Ni (0.319, 0.319, 0.561)
Ni (0.681, 0.681, 0.439)
Pd (0.016, 0.016, 0.336)
Pd (0.326, 0.326, 0.894)
Pd (0.348, 0.348, 0.242)
Pd (0.652, 0.652, 0.758)
Pd (0.674, 0.674, 0.106)
Pd (0.984, 0.984, 0.664)

Calculated values
As for the crystal system: monoclinic. The offset from the most stable computed form comes out at 75 meV/atom.

=====

no.,total moment (μB/cell),ΔH_f (0 K) (eV/f.u.),ρ (Mg/m³)
1,0.89,-2.2,10.015
2,0.66,-3.3,9.978
3,2.63,-1.2,10.595
4,0.00,-2.5,8.885
5,2.68,1.9,9.023
6,1.05,-2.3,10.684
7,0.00,-1.0,8.955
8,0.00,-2.0,8.393
9,0.00,-0.6,7.062
10,2.32,6.0,6.098
11,2.72,-0.5,10.401